CaMg3Cu | meta-GGA SCAN | single point on PBEsol structure

Geometry as POSCAR:
```
CaMg3Cu
1.0
-4.365 -2.003 -2.620
-2.678 -2.073 6.046
-4.122 4.264 3.608
Ca Cu Mg
2 2 6
direct
0.750 0.336 0.328
0.250 0.664 0.672
0.500 0.000 0.000
0.000 0.000 0.000
0.750 0.818 0.364
0.250 0.182 0.636
0.750 0.822 0.814
0.250 0.178 0.186
0.750 0.363 0.814
0.250 0.637 0.186
```

Summary:
* SG: Cmcm
* formation energy: -43.5 meV per atom
* total energy: -8.000 eV/atom
* relative energy among the computed polymorphs: 0.0 kJ per mole of atoms
* Fermi-level density of states: 0.5887 states/eV/atom
* mass density: 2.571 g/cm3
* M_tot: 0.0 μB/f.u.
* crystal system: orthorhombic